Computed, not measured: crystalline FeBr2Cl at its relaxed geometry at the PBE level of DFT.

```
data_FeBr2Cl
_chemical_formula_sum 'Fe1 Br2 Cl1'
_cell_length_a 5.0237
_cell_length_b 5.0237
_cell_length_c 3.4968
_cell_angle_alpha 90.00
_cell_angle_beta 90.00
_cell_angle_gamma 90.00
_symmetry_space_group_name_H-M 'P 1'
_symmetry_Int_Tables_number 1
loop_
_symmetry_equiv_pos_as_xyz
'x,y,z'
loop_
_atom_site_label
_atom_site_type_symbol
_atom_site_fract_x
_atom_site_fract_y
_atom_site_fract_z
Fe1 Fe 0.0000 0.0000 0.0000
Br1 Br 0.0000 0.5000 0.5000
Br2 Br 0.5000 0.0000 0.5000
Cl1 Cl 0.5000 0.5000 0.0000
```

Properties
Electronic total energy (eV/atom): -2.83
Formation energy without anion corrections (eV per atom): 0.582
Magnetization (μB per atom): 0.9905